The following is a DFT calculation (PBE) of crystalline LiNbNiSe3 at its relaxed geometry.

The structure in extended XYZ format:
```
12
Lattice="1.742 -6.598 0.000 1.742 6.598 0.000 0.000 0.000 9.640" Properties=species:S:1:pos:R:3 pbc="T T T"
Li 1.742 3.815 7.230
Li 1.742 -3.815 2.410
Nb 0.000 0.000 0.000
Nb 0.000 0.000 4.820
Ni 1.742 0.367 2.410
Ni 1.742 -0.367 7.230
Se 1.742 5.358 2.410
Se 1.742 1.866 0.598
Se 1.742 1.866 4.222
Se 1.742 -1.866 5.417
Se 1.742 -1.866 9.042
Se 1.742 -5.358 7.230
```

- Crystal system: orthorhombic
- Space group: Cmcm
- V: 18.46 A^3/atom
- Calculated total energy: -65.2 eV for the cell shown
- Magnetization: 0.0 μB per cell